TbSmErMg, relaxed, DFT PBE; final energy = -15.381 eV per cell; relative energy among the computed polymorphs = 59 meV per atom; crystal system = cubic
1.0
-3.4158 0.7914 -4.2647
-1.6695 -4.2996 -3.0344
-5.2364 -1.7236 0.3006
Mg Er Tb Sm
1 1 1 1
direct
0.0000 0.0000 0.0000
0.5000 0.5000 0.5000
0.7500 0.7500 0.7500
0.2500 0.2500 0.2500